Record 1
Material: Pm2EuPb
Method: DFT, PBE
State: optimized geometry

**Mass density**: 8542 kg/m³
**Polymorph energy (0 for the lowest one)**: 0.1319 eV/atom

Lattice parameters (Å, degrees): 7.9621 7.9621 7.9621 90.00 90.00 90.00
Space group Fm-3m (No. 225)
Symmetry-distinct sites (fractional):
Pm1 0.2500 0.2500 0.2500 [8 per cell]
Eu1 0.0000 0.0000 0.0000 [4 per cell]
Pb1 0.0000 0.0000 0.5000 [4 per cell]

=====

Record 2
Material: Ge7Ru3
Method: DFT, PBE
State: optimized geometry

**Mass density**: 8037 kg/m³

Lattice parameters (Å, degrees): 8.7538 8.7538 8.7538 90.00 90.00 90.00
Space group Im-3m (No. 229)
Symmetry-distinct sites (fractional):
Ge1 0.0000 0.2500 0.5000 [12 per cell]
Ge2 0.1609 0.1609 0.1609 [16 per cell]
Ru1 0.0000 0.0000 0.3420 [12 per cell]

=====

The records above give, respectively, D(E_F) values of 6.3, 5.6 states/eV/f.u..
The records above give, respectively, formation enthalpy at 0 K values of -16.61, -21.23 kJ/mol of atoms.